SmHgF3 after structural relaxation. Source: the Alexandria database, functional GGA-PBE.

Computed properties:
The raw total energy is -26.297 eV per cell.

Cell lengths 4.6040, 4.6040, 4.6040 Å; angles 90.00, 90.00, 90.00 degrees
Element x y z (fractional)
1 Hg 0.5000 0.5000 0.5000
2 Sm 0.0000 0.0000 0.0000
3 F 0.0000 0.5000 0.0000
4 F 0.0000 0.0000 0.5000
5 F 0.5000 0.0000 0.0000